1.
This record from the Alexandria database describes a relaxed structure of KHgNF2. The functional is PBE-GGA.

Results
Its energy above the most stable polymorph in this dataset is 693 meV/atom. The space group is No. 123. The uncorrected formation energy is 0.16 eV per formula unit.

Lattice parameters (Å, degrees): 4.928 4.928 5.232 90.00 90.00 90.00
Positions (direct):
1 K 0.000 0.000 0.000
2 Hg 0.500 0.500 0.500
3 N 0.000 0.000 0.500
4 F 0.000 0.500 0.000
5 F 0.500 0.000 0.000

---

2.
This record from the Alexandria database describes a relaxed structure of KHgN2F. The functional is PBE-GGA.

Results
Its energy above the most stable polymorph in this dataset is 0 meV/atom. The space group is No. 123. The uncorrected formation energy is 3.29 eV per formula unit.

Lattice parameters (Å, degrees): 4.310 4.310 5.227 90.00 90.00 90.00
Positions (direct):
1 K 0.000 0.000 0.000
2 Hg 0.500 0.500 0.500
3 N 0.000 0.500 0.500
4 N 0.500 0.000 0.500
5 F 0.500 0.500 0.000

---

3.
This record from the Alexandria database describes a relaxed structure of KHgNF2. The functional is PBE-GGA.

Results
Its energy above the most stable polymorph in this dataset is 0 meV/atom. The space group is No. 123. The uncorrected formation energy is -3.30 eV per formula unit.

Lattice parameters (Å, degrees): 4.883 4.883 4.154 90.00 90.00 90.00
Positions (direct):
1 K 0.000 0.000 0.000
2 Hg 0.500 0.500 0.500
3 N 0.500 0.500 0.000
4 F 0.000 0.500 0.500
5 F 0.500 0.000 0.500

---

4.
This record from the Alexandria database describes a relaxed structure of KHgN2F. The functional is PBE-GGA.

Results
Its energy above the most stable polymorph in this dataset is 524 meV/atom. The space group is No. 123. The uncorrected formation energy is 5.90 eV per formula unit.

Lattice parameters (Å, degrees): 5.896 5.896 4.771 90.00 90.00 90.00
Positions (direct):
1 K 0.000 0.000 0.000
2 Hg 0.500 0.500 0.500
3 N 0.000 0.500 0.000
4 N 0.500 0.000 0.000
5 F 0.000 0.000 0.500

---

5.
This record from the Alexandria database describes a relaxed structure of KNa2HgF5. The functional is PBE-GGA.

Results
The space group is No. 71. The uncorrected formation energy is -19.97 eV per formula unit.

Lattice parameters (Å, degrees): 6.906 6.906 6.906 141.77 127.17 67.06
Positions (direct):
1 K 0.000 0.000 0.000
2 Na 0.287 0.787 0.500
3 Na 0.713 0.213 0.500
4 Hg 0.500 0.500 0.000
5 F 0.101 0.352 0.749
6 F 0.397 0.648 0.749
7 F 0.500 0.000 0.500
8 F 0.603 0.352 0.251
9 F 0.899 0.648 0.251

---

6.
This record from the Alexandria database describes a relaxed structure of K3NaHg2F9. The functional is PBE-GGA.

Results
The space group is No. 164. The uncorrected formation energy is -31.35 eV per formula unit.

Lattice parameters (Å, degrees): 6.315 6.315 7.816 90.00 90.00 120.00
Positions (direct):
1 K 0.000 0.000 0.000
2 K 0.333 0.667 0.636
3 K 0.667 0.333 0.364
4 Na 0.000 0.000 0.500
5 Hg 0.333 0.667 0.172
6 Hg 0.667 0.333 0.828
7 F 0.000 0.500 0.000
8 F 0.167 0.333 0.333
9 F 0.167 0.833 0.333
10 F 0.333 0.167 0.667
11 F 0.500 0.000 0.000
12 F 0.500 0.500 0.000
13 F 0.667 0.833 0.333
14 F 0.833 0.167 0.667
15 F 0.833 0.667 0.667

---

7.
This record from the Alexandria database describes a relaxed structure of KNa4Hg3F12. The functional is PBE-GGA.

Results
The space group is No. 204. The uncorrected formation energy is -41.04 eV per formula unit.

Lattice parameters (Å, degrees): 7.403 7.403 7.403 109.47 109.47 109.47
Positions (direct):
1 K 0.000 0.000 0.000
2 Na 0.000 0.000 0.500
3 Na 0.000 0.500 0.000
4 Na 0.500 0.000 0.000
5 Na 0.500 0.500 0.500
6 Hg 0.000 0.500 0.500
7 Hg 0.500 0.000 0.500
8 Hg 0.500 0.500 0.000
9 F 0.138 0.313 0.824
10 F 0.176 0.489 0.313
11 F 0.176 0.862 0.687
12 F 0.313 0.176 0.489
13 F 0.313 0.824 0.138
14 F 0.489 0.313 0.176
15 F 0.511 0.687 0.824
16 F 0.687 0.176 0.862
17 F 0.687 0.824 0.511
18 F 0.824 0.138 0.313
19 F 0.824 0.511 0.687
20 F 0.862 0.687 0.176

---

8.
This record from the Alexandria database describes a relaxed structure of KNa2HgF8. The functional is PBE-GGA.

Results
The space group is No. 10. The uncorrected formation energy is -21.36 eV per formula unit.

Lattice parameters (Å, degrees): 4.639 7.911 5.362 90.00 92.93 90.00
Positions (direct):
1 K 0.000 0.000 0.000
2 Na 0.500 0.273 0.500
3 Na 0.500 0.727 0.500
4 Hg 0.000 0.500 0.000
5 F 0.117 0.293 0.767
6 F 0.117 0.707 0.767
7 F 0.375 0.500 0.241
8 F 0.481 0.000 0.314
9 F 0.519 0.000 0.686
10 F 0.625 0.500 0.759
11 F 0.883 0.293 0.233
12 F 0.883 0.707 0.233

---

9.
This record from the Alexandria database describes a relaxed structure of K4NaHg3F12. The functional is PBE-GGA.

Results
The space group is No. 229. The uncorrected formation energy is -41.17 eV per formula unit.

Lattice parameters (Å, degrees): 7.842 7.842 7.842 109.47 109.47 109.47
Positions (direct):
1 K 0.000 0.000 0.500
2 K 0.000 0.500 0.000
3 K 0.500 0.000 0.000
4 K 0.500 0.500 0.500
5 Na 0.000 0.000 0.000
6 Hg 0.000 0.500 0.500
7 Hg 0.500 0.000 0.500
8 Hg 0.500 0.500 0.000
9 F 0.000 0.255 0.255
10 F 0.000 0.745 0.745
11 F 0.250 0.500 0.750
12 F 0.250 0.750 0.500
13 F 0.255 0.000 0.255
14 F 0.255 0.255 0.000
15 F 0.500 0.250 0.750
16 F 0.500 0.750 0.250
17 F 0.745 0.000 0.745
18 F 0.745 0.745 0.000
19 F 0.750 0.250 0.500
20 F 0.750 0.500 0.250

---

10.
This record from the Alexandria database describes a relaxed structure of K3Na3HgF8. The functional is PBE-GGA.

Results
The space group is No. 166. The uncorrected formation energy is -36.92 eV per formula unit.

Lattice parameters (Å, degrees): 7.310 7.310 7.310 57.63 57.63 57.63
Positions (direct):
1 K 0.000 0.500 0.500
2 K 0.500 0.000 0.500
3 K 0.500 0.500 0.000
4 Na 0.000 0.000 0.500
5 Na 0.000 0.500 0.000
6 Na 0.500 0.000 0.000
7 Hg 0.500 0.500 0.500
8 F 0.240 0.240 0.240
9 F 0.245 0.731 0.731
10 F 0.269 0.269 0.755
11 F 0.269 0.755 0.269
12 F 0.731 0.245 0.731
13 F 0.731 0.731 0.245
14 F 0.755 0.269 0.269
15 F 0.760 0.760 0.760

---

11.
This record from the Alexandria database describes a relaxed structure of KNa2Hg2F7. The functional is PBE-GGA.

Results
The space group is No. 44. The uncorrected formation energy is -24.91 eV per formula unit.

Lattice parameters (Å, degrees): 9.999 9.999 9.999 152.73 38.42 153.45
Positions (direct):
1 K 0.000 0.000 0.000
2 Na 0.218 0.461 0.756
3 Na 0.705 0.461 0.244
4 Hg 0.348 0.962 0.386
5 Hg 0.577 0.962 0.614
6 F 0.085 0.455 0.630
7 F 0.223 0.961 0.262
8 F 0.300 0.800 0.500
9 F 0.368 0.476 0.892
10 F 0.583 0.476 0.108
11 F 0.699 0.961 0.738
12 F 0.825 0.455 0.370

---

12.
This record from the Alexandria database describes a relaxed structure of K6NaHgF. The functional is PBE-GGA.

Results
The space group is No. 5. The uncorrected formation energy is -4.92 eV per formula unit.

Lattice parameters (Å, degrees): 8.548 8.548 7.422 90.04 90.04 120.16
Positions (direct):
1 K 0.129 0.129 0.278
2 K 0.130 0.420 0.722
3 K 0.580 0.870 0.278
4 K 0.582 0.129 0.722
5 K 0.871 0.418 0.278
6 K 0.871 0.871 0.722
7 Na 0.528 0.472 0.000
8 Hg 0.193 0.807 0.500
9 F 0.861 0.139 0.500

---

13.
This record from the Alexandria database describes a relaxed structure of KNa2HgF4. The functional is PBE-GGA.

Results
The space group is No. 63. The uncorrected formation energy is -17.56 eV per formula unit.

Lattice parameters (Å, degrees): 8.168 8.168 9.998 90.00 90.00 156.59
Positions (direct):
1 K 0.249 0.751 0.750
2 K 0.751 0.249 0.250
3 Na 0.393 0.607 0.024
4 Na 0.393 0.607 0.476
5 Na 0.607 0.393 0.524
6 Na 0.607 0.393 0.976
7 Hg 0.033 0.967 0.250
8 Hg 0.967 0.033 0.750
9 F 0.000 0.000 0.000
10 F 0.000 0.000 0.500
11 F 0.170 0.830 0.090
12 F 0.170 0.830 0.410
13 F 0.386 0.614 0.250
14 F 0.614 0.386 0.750
15 F 0.830 0.170 0.590
16 F 0.830 0.170 0.910

---

14.
This record from the Alexandria database describes a relaxed structure of KNdHgF6. The functional is PBE-GGA.

Results
The space group is No. 163. The uncorrected formation energy is -25.74 eV per formula unit.

Lattice parameters (Å, degrees): 6.353 6.353 10.289 90.00 90.00 120.00
Positions (direct):
1 K 0.000 0.000 0.000
2 K 0.000 0.000 0.500
3 Nd 0.333 0.667 0.250
4 Nd 0.667 0.333 0.750
5 Hg 0.333 0.667 0.750
6 Hg 0.667 0.333 0.250
7 F 0.006 0.367 0.138
8 F 0.006 0.639 0.362
9 F 0.361 0.367 0.362
10 F 0.361 0.994 0.138
11 F 0.367 0.006 0.638
12 F 0.367 0.361 0.862
13 F 0.633 0.639 0.138
14 F 0.633 0.994 0.362
15 F 0.639 0.006 0.862
16 F 0.639 0.633 0.638
17 F 0.994 0.361 0.638
18 F 0.994 0.633 0.862